A geometry-optimized BeSb2IBr structure, computed with PBE.

Properties
calculated volume: 133.5 Å³/cell
DOS(E_F): 2.923 states/eV per cell
energy relative to the elements, uncorrected: 351.9 meV/atom
excess energy over the best structure of this formula in the dataset: 0.00 eV per formula unit

abc: 5.0937 5.0937 5.1447
angles: 90.00 90.00 90.00
Sites, in units of the cell vectors:
Be1 0.0000 0.0000 0.0000
Sb1 0.5000 0.0000 0.0000
Sb2 0.0000 0.5000 0.0000
Br1 0.5000 0.5000 0.5000
I1 0.0000 0.0000 0.5000

=====

A geometry-optimized Ba3Sn4Pt2 structure, computed with PBE.

Properties
DFT formation energy: -638 kJ/mol of formula units
calculated volume: 282.4 Å³/cell
DOS(E_F): 5.374 states/eV per cell
excess energy over the best structure of this formula in the dataset: 0.00 eV per formula unit

abc: 4.8427 6.6854 9.8058
angles: 106.18 90.00 111.23
Sites, in units of the cell vectors:
Pt1 0.6806 0.3612 0.3252
Pt2 0.3194 0.6388 0.6748
Ba1 0.3989 0.7979 0.3117
Ba2 0.0000 0.0000 0.0000
Ba3 0.6011 0.2021 0.6883
Sn1 0.2803 0.5606 0.9267
Sn2 0.1423 0.2847 0.4238
Sn3 0.8577 0.7153 0.5762
Sn4 0.7197 0.4394 0.0733

=====

A geometry-optimized La3Sm3Sc structure, computed with PBE.

Properties
DFT formation energy: 34 kJ/mol of formula units
calculated volume: 475.9 Å³/cell
DOS(E_F): 22.664 states/eV per cell
excess energy over the best structure of this formula in the dataset: 0.00 eV per formula unit

abc: 5.8255 9.7122 9.7122
angles: 120.00 90.00 90.00
Sites, in units of the cell vectors:
Sm1 0.2500 0.0976 0.4847
Sm2 0.2500 0.5153 0.6129
Sm3 0.7500 0.6129 0.0976
Sm4 0.7500 0.9024 0.5153
Sm5 0.2500 0.3871 0.9024
Sm6 0.7500 0.4847 0.3871
La1 0.7500 0.7521 0.8071
La2 0.2500 0.8071 0.0550
La3 0.7500 0.1929 0.9450
La4 0.2500 0.9450 0.7521
La5 0.2500 0.2479 0.1929
La6 0.7500 0.0550 0.2479
Sc1 0.2500 0.6667 0.3333
Sc2 0.7500 0.3333 0.6667

=====

A geometry-optimized K3LiPd2F9 structure, computed with PBE.

Properties
calculated volume: 220.1 Å³/cell
DOS(E_F): 6.390 states/eV per cell
energy relative to the elements, uncorrected: -2130.2 meV/atom

abc: 5.9176 5.9176 7.2586
angles: 90.00 90.00 120.00
Each line ends with the local moment (μB).
Sites, in units of the cell vectors:
F1 0.1647 0.8353 0.3326  0.02
F2 0.3294 0.1647 0.6674  0.02
F3 0.5000 0.5000 0.0000  0.00
F4 0.8353 0.6706 0.6674  0.02
F5 0.1647 0.3294 0.3326  0.02
F6 0.0000 0.5000 0.0000  0.00
F7 0.6706 0.8353 0.3326  0.02
F8 0.8353 0.1647 0.6674  0.02
F9 0.5000 0.0000 0.0000  0.00
K1 0.0000 0.0000 0.0000  0.00
K2 0.3333 0.6667 0.6467  0.00
K3 0.6667 0.3333 0.3533  0.00
Li1 0.0000 0.0000 0.5000  0.00
Pd1 0.3333 0.6667 0.1704  0.21
Pd2 0.6667 0.3333 0.8296  0.21

=====

A geometry-optimized Cr2IrRh structure, computed with PBE.

Properties
DFT formation energy: -37 kJ/mol of formula units
calculated volume: 53.4 Å³/cell
DOS(E_F): 4.923 states/eV per cell

abc: 4.6316 4.6316 4.6316
angles: 132.27 132.27 69.81
Each line ends with the local moment (μB).
Sites, in units of the cell vectors:
Ir1 0.5000 0.5000 0.0000  0.09
Cr1 0.2500 0.7500 0.5000  -1.64
Cr2 0.0000 0.0000 0.0000  1.60
Rh1 0.7500 0.2500 0.5000  -0.12

=====

A geometry-optimized KBeMo2 structure, computed with PBE.

Properties
DFT formation energy: 301 kJ/mol of formula units
calculated volume: 72.1 Å³/cell
DOS(E_F): 3.297 states/eV per cell

abc: 2.7596 2.7596 9.9300
angles: 90.00 90.00 107.64
Sites, in units of the cell vectors:
Mo1 0.0000 0.0000 0.0507
Mo2 0.5000 0.5000 0.2671
Be1 0.0000 0.0000 0.4479
K1 0.5000 0.5000 0.7343

=====

A geometry-optimized HfGa2P structure, computed with PBE.

Properties
DFT formation energy: -55 kJ/mol of formula units
calculated volume: 144.8 Å³/cell
DOS(E_F): 4.997 states/eV per cell

abc: 7.3900 7.3900 5.8596
angles: 50.91 50.91 90.00
Sites, in units of the cell vectors:
P1 0.5000 0.5000 0.0000
P2 0.2500 0.7500 0.5000
Ga1 0.3750 0.4090 0.7500
Ga2 0.1590 0.6250 0.2500
Ga3 0.8750 0.8410 0.7500
Ga4 0.5910 0.1250 0.2500
Hf1 0.7500 0.2500 0.5000
Hf2 0.0000 0.0000 0.0000

=====

A geometry-optimized Tb3Sn3Hg structure, computed with PBE.

Properties
DFT formation energy: -417 kJ/mol of formula units
calculated volume: 377.7 Å³/cell
DOS(E_F): 8.224 states/eV per cell
excess energy over the best structure of this formula in the dataset: 0.00 eV per formula unit

abc: 4.5287 6.2198 14.6395
angles: 81.71 81.10 68.65
Sites, in units of the cell vectors:
Hg1 0.7781 0.0728 0.3710
Hg2 0.2219 0.9272 0.6290
Tb1 0.5109 0.3522 0.6260
Tb2 0.4891 0.6478 0.3740
Tb3 0.7250 0.7757 0.7744
Tb4 0.2750 0.2243 0.2256
Tb5 0.6054 0.7134 0.0758
Tb6 0.3946 0.2866 0.9242
Sn1 0.8653 0.7281 0.5413
Sn2 0.0081 0.7621 0.2217
Sn3 0.1217 0.8312 0.9253
Sn4 0.1347 0.2719 0.4587
Sn5 0.9919 0.2379 0.7783
Sn6 0.8783 0.1688 0.0747